[1]
First-principles (PBE-GGA) data for a relaxed PmAg8Sn3 crystal, as listed in the Alexandria database.

Space group = P3m1 (156)
Electronic total energy = -3.37 eV/atom
DFT formation energy = -73.3 meV per atom

Structure (POSCAR):
```
PmAg8Sn3
1.0
5.700 0.000 0.000
-2.850 4.936 0.000
0.000 0.000 9.088
Pm Ag Sn
1 8 3
Direct
0.000 0.000 0.570
0.333 0.667 0.500
0.333 0.667 0.002
0.503 0.005 0.753
0.503 0.497 0.753
0.995 0.497 0.753
0.163 0.327 0.248
0.163 0.837 0.248
0.673 0.837 0.248
0.667 0.333 0.432
0.667 0.333 0.047
0.000 0.000 0.949
```

---

[2]
First-principles (PBE-GGA) data for a relaxed Pm5AgSn8 crystal, as listed in the Alexandria database.

Space group = I-4 (82)
Electronic total energy = -4.64 eV/atom
DFT formation energy = -455.5 meV per atom

Structure (POSCAR):
```
Pm5AgSn8
1.0
-5.365 -1.827 -5.712
4.729 -6.432 1.003
-3.314 1.683 7.137
Pm Ag Sn
5 1 8
Direct
0.984 0.390 0.138
0.862 0.846 0.252
0.748 0.610 0.594
0.500 0.000 0.500
0.406 0.154 0.016
0.250 0.500 0.750
0.144 0.766 0.030
0.970 0.114 0.736
0.822 0.241 0.405
0.595 0.417 0.836
0.419 0.583 0.178
0.622 0.886 0.856
0.264 0.234 0.378
0.164 0.759 0.581
```

---

[3]
First-principles (PBE-GGA) data for a relaxed PmAg12Sn6 crystal, as listed in the Alexandria database.

Space group = R-3m (166)
Electronic total energy = -3.24 eV/atom
DFT formation energy = 72.9 meV per atom

Structure (POSCAR):
```
PmAg12Sn6
1.0
7.877 0.011 0.015
-1.942 7.634 0.015
-1.942 -2.502 7.212
Pm Ag Sn
1 12 6
Direct
0.000 0.000 0.000
0.890 0.110 0.500
0.888 0.650 0.650
0.650 0.650 0.888
0.350 0.112 0.350
0.350 0.350 0.112
0.112 0.350 0.350
0.110 0.500 0.890
0.500 0.890 0.110
0.110 0.890 0.500
0.890 0.500 0.110
0.500 0.110 0.890
0.650 0.888 0.650
0.697 0.292 0.292
0.292 0.292 0.697
0.292 0.697 0.292
0.708 0.708 0.303
0.303 0.708 0.708
0.708 0.303 0.708
```

---

[4]
First-principles (PBE-GGA) data for a relaxed Pm5Ag2Sn5 crystal, as listed in the Alexandria database.

Space group = C2/m (12)
Electronic total energy = -4.63 eV/atom
DFT formation energy = -511.9 meV per atom

Structure (POSCAR):
```
Pm5Ag2Sn5
1.0
4.651 0.000 0.000
-2.325 6.124 -1.316
0.000 -4.966 12.739
Pm Ag Sn
5 2 5
Direct
0.500 0.000 0.500
0.660 0.320 0.004
0.654 0.308 0.271
0.346 0.692 0.729
0.340 0.680 0.996
0.058 0.116 0.783
0.942 0.884 0.217
0.156 0.312 0.449
0.691 0.383 0.783
0.309 0.617 0.217
0.844 0.688 0.551
0.000 0.000 0.000
```

---

[5]
First-principles (PBE-GGA) data for a relaxed Pm6AgSn5 crystal, as listed in the Alexandria database.

Space group = C2/m (12)
Electronic total energy = -4.88 eV/atom
DFT formation energy = -603.6 meV per atom

Structure (POSCAR):
```
Pm6AgSn5
1.0
-1.734 0.520 5.408
0.559 -5.808 6.739
7.952 0.329 5.519
Pm Ag Sn
6 1 5
Direct
0.746 0.086 0.337
0.254 0.578 0.337
0.243 0.257 0.000
0.757 0.743 0.000
0.746 0.422 0.663
0.254 0.914 0.663
0.000 0.000 0.000
0.500 0.159 0.681
0.000 0.331 0.338
0.500 0.500 0.000
0.000 0.669 0.662
0.500 0.841 0.319
```

---

[6]
First-principles (PBE-GGA) data for a relaxed Pm3Ag2Sn4 crystal, as listed in the Alexandria database.

Space group = C2/m (12)
Electronic total energy = -4.58 eV/atom
DFT formation energy = -588.1 meV per atom

Structure (POSCAR):
```
Pm3Ag2Sn4
1.0
-4.368 0.817 1.554
0.010 -2.679 -5.697
0.943 -6.613 6.127
Pm Ag Sn
3 2 4
Direct
0.635 0.270 0.691
0.000 0.000 0.000
0.365 0.730 0.309
0.690 0.379 0.370
0.310 0.621 0.630
0.703 0.406 0.067
0.297 0.594 0.933
0.932 0.863 0.614
0.068 0.137 0.386
```

---

[7]
First-principles (PBE-GGA) data for a relaxed Pm5Ag4Sn crystal, as listed in the Alexandria database.

Space group = P4/mmm (123)
Electronic total energy = -4.26 eV/atom
DFT formation energy = -348.4 meV per atom

Structure (POSCAR):
```
Pm5Ag4Sn
1.0
3.678 0.000 0.000
0.000 3.678 0.000
0.000 0.000 19.519
Pm Ag Sn
5 4 1
Direct
0.500 0.500 0.107
0.500 0.500 0.304
0.500 0.500 0.500
0.500 0.500 0.696
0.500 0.500 0.893
0.000 0.000 0.209
0.000 0.000 0.401
0.000 0.000 0.599
0.000 0.000 0.791
0.000 0.000 0.000
```

---

[8]
First-principles (PBE-GGA) data for a relaxed Pm2Ag2Sn3 crystal, as listed in the Alexandria database.

Space group = Cmcm (63)
Electronic total energy = -4.41 eV/atom
DFT formation energy = -522.3 meV per atom

Structure (POSCAR):
```
Pm2Ag2Sn3
1.0
4.583 0.000 -1.093
0.000 7.480 0.000
0.050 0.000 10.366
Pm Ag Sn
4 4 6
Direct
0.157 0.250 0.313
0.843 0.750 0.687
0.954 0.250 0.909
0.046 0.750 0.091
0.699 0.951 0.398
0.301 0.049 0.602
0.301 0.451 0.602
0.699 0.549 0.398
0.214 0.750 0.428
0.786 0.250 0.572
0.567 0.445 0.135
0.433 0.555 0.865
0.433 0.945 0.865
0.567 0.055 0.135
```

---

[9]
First-principles (PBE-GGA) data for a relaxed Pm2Ag3Sn5 crystal, as listed in the Alexandria database.

Space group = Ibam (72)
Electronic total energy = -4.06 eV/atom
DFT formation energy = -255.2 meV per atom

Structure (POSCAR):
```
Pm2Ag3Sn5
1.0
6.600 0.000 0.000
3.300 8.815 -0.301
3.300 1.063 8.756
Pm Ag Sn
4 6 10
Direct
0.128 0.609 0.135
0.628 0.135 0.609
0.872 0.391 0.865
0.372 0.865 0.391
0.361 0.514 0.764
0.861 0.764 0.514
0.639 0.486 0.236
0.139 0.236 0.486
0.250 0.000 0.000
0.750 0.000 0.000
0.397 0.261 0.945
0.897 0.945 0.261
0.603 0.739 0.055
0.103 0.055 0.739
0.483 0.767 0.767
0.517 0.233 0.233
0.750 0.500 0.500
0.250 0.500 0.500
0.017 0.233 0.233
0.983 0.767 0.767
```

---

[10]
First-principles (PBE-GGA) data for a relaxed SrPm2Ag2Sn2 crystal, as listed in the Alexandria database.

Space group = R-3m (166)
Electronic total energy = -4.01 eV/atom
DFT formation energy = -457.6 meV per atom

Structure (POSCAR):
```
SrPm2Ag2Sn2
1.0
4.890 0.000 0.000
2.445 4.235 0.000
2.445 1.412 9.742
Sr Pm Ag Sn
1 2 2 2
Direct
0.000 0.000 0.000
0.130 0.130 0.609
0.870 0.870 0.391
0.589 0.589 0.232
0.411 0.411 0.768
0.746 0.746 0.761
0.254 0.254 0.239
```

---

[11]
First-principles (PBE-GGA) data for a relaxed TbPmAgSn crystal, as listed in the Alexandria database.

Space group = F-43m (216)
Electronic total energy = -4.58 eV/atom
DFT formation energy = -519.5 meV per atom

Structure (POSCAR):
```
TbPmAgSn
1.0
5.309 0.000 0.000
2.655 4.598 0.000
2.655 1.533 4.335
Tb Sn Ag Pm
1 1 1 1
Direct
0.750 0.750 0.750
0.000 0.000 0.000
0.500 0.500 0.500
0.250 0.250 0.250
```

---

[12]
First-principles (PBE-GGA) data for a relaxed Tb2PmAg2Sn2 crystal, as listed in the Alexandria database.

Space group = R-3m (166)
Electronic total energy = -4.39 eV/atom
DFT formation energy = -432.4 meV per atom

Structure (POSCAR):
```
Tb2PmAg2Sn2
1.0
4.882 0.000 0.000
2.441 4.228 0.000
2.441 1.409 8.718
Tb Pm Ag Sn
2 1 2 2
Direct
0.135 0.135 0.596
0.865 0.865 0.404
0.000 0.000 0.000
0.563 0.563 0.312
0.437 0.437 0.688
0.736 0.736 0.793
0.264 0.264 0.207
```